[1]
Entry from the Alexandria database: a relaxed NdPaTeAs crystal (PBE).

Summary:
* crystal system: trigonal
* E_form (uncorrected): -1.141 eV/atom
* space group: R3m, No. 160

a = 4.1555 Å, b = 4.1558 Å, c = 7.9745 Å
α = 90.00°, β = 105.10°, γ = 120.00°
With the nearest neighbours (Å) after each atom.
Sites, in units of the cell vectors:
1 Nd 0.4914 0.1436 0.6503  3 As 2.95, 3 Te 3.28
2 Pa 0.1149 0.9555 0.0856  3 As 2.88, 3 Te 3.16
3 Te 0.9625 0.3792 0.3569  3 Pa 3.16, 3 Nd 3.28
4 As 0.3091 0.5525 0.8769  3 Pa 2.88, 3 Nd 2.95

---

[2]
Entry from the Alexandria database: a relaxed TlTcF2 crystal (PBE).

Summary:
* crystal system: tetragonal
* E_form (uncorrected): -0.680 eV/atom
* space group: I-42d, No. 122
* energy above the most stable polymorph in this dataset: 270 meV/atom

a = 4.4991 Å, b = 4.4991 Å, c = 8.1635 Å
α = 74.00°, β = 74.00°, γ = 90.00°
With the nearest neighbours (Å) after each atom.
Sites, in units of the cell vectors:
1 Tl 0.0000 0.0000 0.0000  4 F 2.71
2 Tl 0.7500 0.2500 0.5000  4 F 2.71
3 Tc 0.5000 0.5000 0.0000  4 F 2.29
4 Tc 0.2500 0.7500 0.5000  4 F 2.29
5 F 0.5210 0.1250 0.2500  2 Tc 2.29
6 F 0.2290 0.6250 0.2500  2 Tc 2.29
7 F 0.3750 0.4790 0.7500  2 Tc 2.29
8 F 0.8750 0.7710 0.7500  2 Tc 2.29

---

[3]
Entry from the Alexandria database: a relaxed ZnAsSe crystal (PBE).

Summary:
* crystal system: cubic
* E_form (uncorrected): 0.334 eV/atom
* space group: F-43m, No. 216

a = 4.5865 Å, b = 4.5865 Å, c = 4.5865 Å
α = 60.00°, β = 60.00°, γ = 60.00°
With the nearest neighbours (Å) after each atom.
Sites, in units of the cell vectors:
1 As 0.2500 0.2500 0.2500  4 Se 2.81, 4 Zn 2.81
2 Se 0.0000 0.0000 0.0000  4 As 2.81
3 Zn 0.5000 0.5000 0.5000  4 As 2.81

---

Computed DFT total energy (eV per atom) in order:
-6.655, -4.799, -2.802